The following is a DFT calculation (GGA-PBE) of CaTmMgAl after structural relaxation.

Geometry as extended XYZ:
```
4
Lattice="3.6167 0.0000 0.0000 0.0000 3.6167 0.0000 0.0000 0.0000 8.0080" Properties=species:S:1:pos:R:3 pbc="T T T"
Ca 0.0000 0.0000 0.0000
Tm 0.0000 0.0000 3.6880
Mg 1.8083 1.8083 5.7529
Al 1.8083 1.8083 1.9600
```

## Properties
- Excess energy over the best structure of this formula in the dataset: 0 meV/atom
- Energy relative to the elements: -186 meV/atom
- Calculated density: 4.1 g/cm3
- Crystal system: tetragonal
- Size of the total moment: 0.00 μB/cell

---

The following is a DFT calculation (GGA-PBE) of CaTmMgAl after structural relaxation.

Geometry as extended XYZ:
```
4
Lattice="0.0000 3.7144 3.7144 3.7144 0.0000 3.7144 3.7144 3.7144 0.0000" Properties=species:S:1:pos:R:3 pbc="T T T"
Ca 0.0000 0.0000 0.0000
Tm 3.7144 3.7144 3.7144
Mg 5.5716 5.5716 5.5716
Al 1.8572 1.8572 1.8572
```

## Properties
- Excess energy over the best structure of this formula in the dataset: 4 meV/atom
- Energy relative to the elements: -182 meV/atom
- Calculated density: 4.2 g/cm3
- Crystal system: cubic
- Size of the total moment: 0.00 μB/cell

---

The following is a DFT calculation (GGA-PBE) of CaMgAlZn after structural relaxation.

Geometry as extended XYZ:
```
4
Lattice="0.0000 3.5032 3.5032 3.5032 0.0000 3.5032 3.5032 3.5032 0.0000" Properties=species:S:1:pos:R:3 pbc="T T T"
Ca 0.0000 0.0000 0.0000
Mg 3.5032 3.5032 3.5032
Al 5.2549 5.2549 5.2549
Zn 1.7516 1.7516 1.7516
```

## Properties
- Energy relative to the elements: -148 meV/atom
- Calculated density: 3.0 g/cm3
- Crystal system: cubic
- Size of the total moment: 0.00 μB/cell

---

The following is a DFT calculation (GGA-PBE) of CaMnAl after structural relaxation.

Geometry as extended XYZ:
```
3
Lattice="0.0000 3.4573 3.4573 3.4573 0.0000 3.4573 3.4573 3.4573 0.0000" Properties=species:S:1:pos:R:3 pbc="T T T"
Ca 0.0000 0.0000 0.0000
Mn 1.7286 1.7286 1.7286
Al 5.1859 5.1859 5.1859
```

## Properties
- Energy relative to the elements: 883 meV/atom
- Calculated density: 2.5 g/cm3
- Crystal system: cubic
- Size of the total moment: 3.64 μB/cell

---

- Number 4 is which compound?
  CaMnAl

---

- Look up the energy relative to the elements of the first one.
  -186 meV/atom

---

- calculated density of number 3 (CaMgAlZn)?
  3.0 g/cm3